Material: BaLa2FeS5
Method: DFT, PBE
State: relaxed

## Properties
DOS at the Fermi energy   0.232 states/eV/atom
Total magnetic moment   8.0 Bohr magnetons per cell
E   -6.3165 eV/atom
Space-group type   I4/mcm

abc: 8.8152 8.8152 8.8152
angles: 125.98 125.98 79.92
Last column: nearest neighbours and their distance in Å.
Element x y z (fractional)
Ba 0.2500 0.2500 0.0000  10 S 3.38-3.42
Ba 0.7500 0.7500 0.0000  10 S 3.38-3.42
La 0.1629 0.6629 0.8257  8 S 2.83-3.11
La 0.3371 0.1629 0.5000  8 S 2.83-3.11
La 0.6629 0.8371 0.5000  8 S 2.83-3.11
La 0.8371 0.3371 0.1743  8 S 2.83-3.11
Fe 0.2500 0.7500 0.5000  4 S 2.27
Fe 0.7500 0.2500 0.5000  4 S 2.27
S 0.0000 0.0000 0.0000  4 La 3.00
S 0.0108 0.2146 0.5000  1 Fe 2.27
S 0.2146 0.7146 0.2038  1 Fe 2.27
S 0.2854 0.4892 0.5000  1 Fe 2.27
S 0.4892 0.9892 0.2038  1 Fe 2.27
S 0.5000 0.5000 0.0000  4 La 3.00
S 0.5108 0.0108 0.7962  1 Fe 2.27
S 0.7146 0.5108 0.5000  1 Fe 2.27
S 0.7854 0.2854 0.7962  1 Fe 2.27
S 0.9892 0.7854 0.5000  1 Fe 2.27

***

Material: HfMgGa6
Method: DFT, PBE
State: relaxed

## Properties
DOS at the Fermi energy   0.434 states/eV/atom
Total magnetic moment   0.0 Bohr magnetons per cell
DFT formation energy   -0.207 eV per atom
Space-group type   P4/mmm

abc: 5.8781 5.8781 4.0917
angles: 90.00 90.00 90.00
Last column: nearest neighbours and their distance in Å.
Element x y z (fractional)
Hf 0.0000 0.0000 0.0000  12 Ga 2.93-2.94
Mg 0.5000 0.5000 0.0000  12 Ga 2.90-2.94
Ga 0.0000 0.5000 0.0000  8 Ga 2.92, 2 Hf 2.94, 2 Mg 2.94
Ga 0.2526 0.2526 0.5000  2 Mg 2.90, 8 Ga 2.91-2.97, 2 Hf 2.93
Ga 0.2526 0.7474 0.5000  2 Mg 2.90, 8 Ga 2.91-2.97, 2 Hf 2.93
Ga 0.5000 0.0000 0.0000  8 Ga 2.92, 2 Hf 2.94, 2 Mg 2.94
Ga 0.7474 0.2526 0.5000  2 Mg 2.90, 8 Ga 2.91-2.97, 2 Hf 2.93
Ga 0.7474 0.7474 0.5000  2 Mg 2.90, 8 Ga 2.91-2.97, 2 Hf 2.93

***

Material: CeAgTeO5
Method: DFT, PBE
State: relaxed

## Properties
DOS at the Fermi energy   0.363 states/eV/atom
Total magnetic moment   0.0 Bohr magnetons per cell
E   -6.1425 eV/atom
Space-group type   C2/c

abc: 6.4860 6.4860 7.7991
angles: 102.33 102.33 111.78
Last column: nearest neighbours and their distance in Å.
Element x y z (fractional)
Ce 0.0000 0.5000 0.0000  4 O 2.14-2.31
Ce 0.5000 0.0000 0.5000  4 O 2.14-2.31
Ag 0.0277 0.9723 0.7500  2 O 2.20
Ag 0.9723 0.0277 0.2500  2 O 2.20
Te 0.4816 0.5184 0.7500  4 O 1.89-2.03
Te 0.5184 0.4816 0.2500  4 O 1.89-2.03
O 0.1728 0.2640 0.1194  1 Te 2.03, 1 Ag 2.20
O 0.2127 0.7873 0.2500  2 Ce 2.14
O 0.2640 0.1728 0.6194  1 Te 2.03, 1 Ag 2.20
O 0.3395 0.6081 0.9215  1 Te 1.89
O 0.3919 0.6605 0.5785  1 Te 1.89
O 0.6081 0.3395 0.4215  1 Te 1.89
O 0.6605 0.3919 0.0785  1 Te 1.89
O 0.7360 0.8272 0.3806  1 Te 2.03, 1 Ag 2.20
O 0.7873 0.2127 0.7500  2 Ce 2.14
O 0.8272 0.7360 0.8806  1 Te 2.03, 1 Ag 2.20

***

Material: FeSi7
Method: DFT, PBE
State: relaxed

## Properties
DOS at the Fermi energy   0.408 states/eV/atom
Total magnetic moment   0.2 Bohr magnetons per cell
E   -5.4115 eV/atom
Space-group type   Fm-3m

abc: 5.2951 5.2951 5.2951
angles: 60.00 60.00 60.00
Last column: nearest neighbours and their distance in Å.
Element x y z (fractional)
Fe 0.0000 0.0000 0.0000  12 Si 2.65
Si 0.0000 0.0000 0.5000  2 Fe 2.65, 10 Si 2.65
Si 0.0000 0.5000 0.0000  2 Fe 2.65, 10 Si 2.65
Si 0.0000 0.5000 0.5000  2 Fe 2.65, 10 Si 2.65
Si 0.5000 0.0000 0.0000  2 Fe 2.65, 10 Si 2.65
Si 0.5000 0.0000 0.5000  2 Fe 2.65, 10 Si 2.65
Si 0.5000 0.5000 0.0000  2 Fe 2.65, 10 Si 2.65
Si 0.5000 0.5000 0.5000  12 Si 2.65

***

Material: HgAu2Br
Method: DFT, PBE
State: relaxed

## Properties
DOS at the Fermi energy   0.360 states/eV/atom
Energy relative to the lowest polymorph listed for this composition   0.216 eV/atom
Total magnetic moment   0.0 Bohr magnetons per cell
Space-group type   Pmmm

abc: 3.6808 3.7019 6.6820
angles: 90.00 90.00 90.00
Last column: nearest neighbours and their distance in Å.
Element x y z (fractional)
Hg 0.0000 0.0000 0.0000  8 Au 2.95
Au 0.5000 0.5000 0.2063  1 Au 2.76, 4 Hg 2.95
Au 0.5000 0.5000 0.7937  1 Au 2.76, 4 Hg 2.95
Br 0.0000 0.0000 0.5000  8 Au 3.27, 2 Hg 3.34

***

Material: GeSb2TeOs
Method: DFT, PBE
State: relaxed

## Properties
DOS at the Fermi energy   0.577 states/eV/atom
Energy relative to the lowest polymorph listed for this composition   0.000 eV/atom
Total magnetic moment   0.0 Bohr magnetons per cell
Space-group type   P4/mmm

abc: 5.0007 5.0007 5.7826
angles: 90.00 90.00 90.00
Last column: nearest neighbours and their distance in Å.
Element x y z (fractional)
Ge 0.0000 0.0000 0.0000  4 Te 3.54, 8 Sb 3.82
Sb 0.0000 0.5000 0.5000  2 Os 2.50
Sb 0.5000 0.0000 0.5000  2 Os 2.50
Te 0.5000 0.5000 0.0000  2 Os 2.89
Os 0.5000 0.5000 0.5000  4 Sb 2.50

***

Material: Ac2PrNi2
Method: DFT, PBE
State: relaxed

## Properties
DOS at the Fermi energy   0.822 states/eV/atom
Energy relative to the lowest polymorph listed for this composition   0.000 eV/atom
Total magnetic moment   0.0 Bohr magnetons per cell
DFT formation energy   -0.183 eV per atom
Space-group type   Cmmm

abc: 7.7933 7.7933 4.1095
angles: 90.00 90.00 146.04
Last column: nearest neighbours and their distance in Å.
Element x y z (fractional)
Ac 0.1481 0.8519 0.0000  6 Ni 3.05-3.17
Ac 0.8519 0.1481 0.0000  6 Ni 3.05-3.17
Pr 0.5000 0.5000 0.5000  2 Ni 2.99
Ni 0.2992 0.7008 0.5000  2 Ni 2.71, 1 Pr 2.99
Ni 0.7008 0.2992 0.5000  2 Ni 2.71, 1 Pr 2.99

***

Material: BeB3F
Method: DFT, PBE
State: relaxed

## Properties
DOS at the Fermi energy   0.551 states/eV/atom
Energy relative to the lowest polymorph listed for this composition   0.759 eV/atom
Total magnetic moment   0.0 Bohr magnetons per cell
Space-group type   Pm-3m

abc: 3.7285 3.7285 3.7285
angles: 90.00 90.00 90.00
Last column: nearest neighbours and their distance in Å.
Element x y z (fractional)
Be 0.0000 0.0000 0.0000  12 B 2.64
B 0.0000 0.5000 0.5000  2 F 1.86
B 0.5000 0.0000 0.5000  2 F 1.86
B 0.5000 0.5000 0.0000  2 F 1.86
F 0.5000 0.5000 0.5000  6 B 1.86

***

Material: HgSb2Se3
Method: DFT, PBE
State: relaxed

## Properties
DOS at the Fermi energy   0.086 states/eV/atom
Total magnetic moment   0.0 Bohr magnetons per cell
E   -3.3170 eV/atom
Space-group type   Pmc2_1

abc: 4.0072 12.9854 7.7100
angles: 90.00 90.00 90.00
Last column: nearest neighbours and their distance in Å.
Element x y z (fractional)
Hg 0.0000 0.0257 0.0000  1 Sb 2.82, 2 Se 2.85
Hg 0.0000 0.9743 0.5000  1 Sb 2.82, 2 Se 2.85
Sb 0.0000 0.2035 0.2089  1 Hg 2.82, 4 Se 2.85-2.92
Sb 0.0000 0.7965 0.7089  1 Hg 2.82, 4 Se 2.85-2.92
Sb 0.5000 0.4801 0.2096  3 Se 2.64-2.74
Sb 0.5000 0.5199 0.7096  3 Se 2.64-2.74
Se 0.0000 0.4157 0.4260  2 Sb 2.74
Se 0.0000 0.5843 0.9260  2 Sb 2.74
Se 0.5000 0.1255 0.4360  2 Sb 2.85, 2 Hg 2.85
Se 0.5000 0.3152 0.0086  3 Sb 2.64-2.92
Se 0.5000 0.6848 0.5086  3 Sb 2.64-2.92
Se 0.5000 0.8745 0.9360  2 Sb 2.85, 2 Hg 2.85

***

Material: HfSi2Rh2
Method: DFT, PBE
State: relaxed

## Properties
DOS at the Fermi energy   0.564 states/eV/atom
Total magnetic moment   0.0 Bohr magnetons per cell
E   -7.9712 eV/atom
Space-group type   P2_1/m

abc: 4.2366 3.8771 9.4602
angles: 90.00 94.91 90.00
Last column: nearest neighbours and their distance in Å.
Element x y z (fractional)
Hf 0.2106 0.2500 0.2589  7 Si 2.92-3.03, 8 Rh 2.96-3.21
Hf 0.7894 0.7500 0.7411  7 Si 2.92-3.03, 8 Rh 2.96-3.21
Si 0.1676 0.7500 0.0146  4 Rh 2.26-2.40, 2 Si 2.40
Si 0.2782 0.2500 0.6445  5 Rh 2.31-2.50
Si 0.7218 0.7500 0.3555  5 Rh 2.31-2.50
Si 0.8324 0.2500 0.9854  4 Rh 2.26-2.40, 2 Si 2.40
Rh 0.2484 0.7500 0.4965  4 Si 2.39-2.50
Rh 0.3252 0.2500 0.8891  5 Si 2.26-2.40
Rh 0.6748 0.7500 0.1109  5 Si 2.26-2.40
Rh 0.7516 0.2500 0.5035  4 Si 2.39-2.50

***

Material: SiTe2O
Method: DFT, PBE
State: relaxed

## Properties
DOS at the Fermi energy   0.405 states/eV/atom
Energy relative to the lowest polymorph listed for this composition   0.372 eV/atom
Total magnetic moment   0.0 Bohr magnetons per cell
Space-group type   Fm-3m

abc: 4.6716 4.6716 4.6716
angles: 60.00 60.00 60.00
Last column: nearest neighbours and their distance in Å.
Element x y z (fractional)
Si 0.0000 0.0000 0.0000  8 Te 2.86
Te 0.2500 0.2500 0.2500  4 O 2.86, 4 Si 2.86
Te 0.7500 0.7500 0.7500  4 Si 2.86, 4 O 2.86
O 0.5000 0.5000 0.5000  8 Te 2.86

***

Material: Sc8Al2Sn
Method: DFT, PBE
State: relaxed

## Properties
DOS at the Fermi energy   1.165 states/eV/atom
Energy relative to the lowest polymorph listed for this composition   0.000 eV/atom
Total magnetic moment   0.0 Bohr magnetons per cell
DFT formation energy   -0.307 eV per atom
Space-group type   C2/m

abc: 8.0937 8.0937 7.4406
angles: 111.42 111.42 32.74
Last column: nearest neighbours and their distance in Å.
Element x y z (fractional)
Sc 0.0532 0.0532 0.2249  1 Al 2.91, 5 Sc 3.06-3.21
Sc 0.1487 0.1487 0.7085  3 Al 2.96-2.99, 5 Sc 3.20-3.21, 2 Sn 3.20
Sc 0.3168 0.3168 0.5607  1 Al 2.88, 7 Sc 2.98-3.21, 1 Sn 3.05
Sc 0.3994 0.3994 0.0420  3 Al 2.95-3.12, 1 Sn 3.16, 6 Sc 3.20-3.29
Sc 0.6006 0.6006 0.9580  3 Al 2.95-3.12, 1 Sn 3.16, 6 Sc 3.20-3.29
Sc 0.6832 0.6832 0.4393  1 Al 2.88, 7 Sc 2.98-3.21, 1 Sn 3.05
Sc 0.8513 0.8513 0.2915  3 Al 2.96-2.99, 5 Sc 3.20-3.21, 2 Sn 3.20
Sc 0.9468 0.9468 0.7751  1 Al 2.91, 5 Sc 3.06-3.21
Al 0.2220 0.2220 0.1435  8 Sc 2.88-3.12
Al 0.7780 0.7780 0.8565  8 Sc 2.88-3.12
Sn 0.5000 0.5000 0.5000  12 Sc 3.05-3.37

***

Material: Er2HfSc
Method: DFT, PBE
State: relaxed

## Properties
DOS at the Fermi energy   1.562 states/eV/atom
Energy relative to the lowest polymorph listed for this composition   0.013 eV/atom
Total magnetic moment   0.0 Bohr magnetons per cell
DFT formation energy   0.105 eV per atom
Space-group type   P4/mmm

abc: 3.3371 3.3371 9.5304
angles: 90.00 90.00 90.00
Last column: nearest neighbours and their distance in Å.
Element x y z (fractional)
Er 0.0000 0.0000 0.2399  4 Hf 3.29, 4 Er 3.34, 4 Sc 3.42
Er 0.0000 0.0000 0.7601  4 Hf 3.29, 4 Er 3.34, 4 Sc 3.42
Hf 0.5000 0.5000 0.0000  8 Er 3.29, 4 Hf 3.34
Sc 0.5000 0.5000 0.5000  4 Sc 3.34, 8 Er 3.42

***

Material: CaRe3Tc
Method: DFT, PBE
State: relaxed

## Properties
DOS at the Fermi energy   1.413 states/eV/atom
Total magnetic moment   0.0 Bohr magnetons per cell
DFT formation energy   3.296 eV per atom
Space-group type   Pm-3m

abc: 4.4903 4.4903 4.4903
angles: 90.00 90.00 90.00
Last column: nearest neighbours and their distance in Å.
Element x y z (fractional)
Ca 0.0000 0.0000 0.0000  6 Re 2.25
Re 0.0000 0.0000 0.5000  2 Ca 2.25
Re 0.0000 0.5000 0.0000  2 Ca 2.25
Re 0.5000 0.0000 0.0000  2 Ca 2.25
Tc 0.5000 0.5000 0.5000  12 Re 3.18

***

Material: K2HgRh
Method: DFT, PBE
State: relaxed

## Properties
DOS at the Fermi energy   0.567 states/eV/atom
Total magnetic moment   0.0 Bohr magnetons per cell
DFT formation energy   0.174 eV per atom
Space-group type   P4mm

abc: 3.7693 3.7693 9.7544
angles: 90.00 90.00 90.00
Last column: nearest neighbours and their distance in Å.
Element x y z (fractional)
K 0.0000 0.0000 0.0000  1 Rh 3.13
K 0.5000 0.5000 0.4201  1 Hg 3.19
Hg 0.5000 0.5000 0.7467  4 Rh 2.75
Rh 0.0000 0.0000 0.6792  4 Hg 2.75

***

Material: NpAs4
Method: DFT, PBE
State: relaxed

## Properties
DOS at the Fermi energy   1.217 states/eV/atom
Total magnetic moment   1.2 Bohr magnetons per cell
DFT formation energy   0.766 eV per atom
Space-group type   Pm-3m

abc: 5.2363 5.2363 5.2363
angles: 90.00 90.00 90.00
Last column: nearest neighbours and their distance in Å.
Element x y z (fractional)
Np 0.0000 0.0000 0.0000  6 As 2.62
As 0.0000 0.0000 0.5000  2 Np 2.62
As 0.0000 0.5000 0.0000  2 Np 2.62
As 0.5000 0.0000 0.0000  2 Np 2.62
As 0.5000 0.5000 0.5000  12 As 3.70

***

Material: As2IrCl
Method: DFT, PBE
State: relaxed

## Properties
DOS at the Fermi energy   0.424 states/eV/atom
Energy relative to the lowest polymorph listed for this composition   0.246 eV/atom
Total magnetic moment   0.0 Bohr magnetons per cell
Space-group type   Pm

abc: 3.9752 3.8017 7.2305
angles: 90.00 100.84 90.00
Last column: nearest neighbours and their distance in Å.
Element x y z (fractional)
As 0.0000 0.0000 0.0000  2 Ir 2.53, 2 As 2.64
As 0.4517 0.5000 0.9769  2 Ir 2.44-2.53, 2 As 2.64
Ir 0.8666 0.5000 0.7666  4 As 2.44-2.53, 2 Cl 2.48
Cl 0.7515 0.0000 0.5444  2 Ir 2.48

***

Material: Ho3Zn2
Method: DFT, PBE
State: relaxed

## Properties
DOS at the Fermi energy   1.129 states/eV/atom
Energy relative to the lowest polymorph listed for this composition   0.135 eV/atom
Total magnetic moment   0.0 Bohr magnetons per cell
DFT formation energy   -0.136 eV per atom
Space-group type   C2/m

abc: 7.8222 7.8222 10.4931
angles: 90.20 90.20 36.80
Last column: nearest neighbours and their distance in Å.
Element x y z (fractional)
Ho 0.0000 0.0000 0.0000  6 Zn 3.00
Ho 0.0035 0.0035 0.6632  5 Zn 3.03-3.07
Ho 0.3299 0.3299 0.0040  5 Zn 3.03-3.07
Ho 0.3329 0.3329 0.6672  6 Zn 3.00-3.01
Ho 0.3371 0.3371 0.3304  5 Zn 3.03-3.08
Ho 0.6629 0.6629 0.6696  5 Zn 3.03-3.08
Ho 0.6671 0.6671 0.3328  6 Zn 3.00-3.01
Ho 0.6701 0.6701 0.9960  5 Zn 3.03-3.07
Ho 0.9965 0.9965 0.3368  5 Zn 3.03-3.07
Zn 0.1629 0.1629 0.1701  8 Ho 3.00-3.08
Zn 0.1704 0.1704 0.4962  8 Ho 3.00-3.07
Zn 0.4960 0.4960 0.8370  8 Ho 3.00-3.07
Zn 0.5040 0.5040 0.1630  8 Ho 3.00-3.07
Zn 0.8296 0.8296 0.5038  8 Ho 3.00-3.07
Zn 0.8371 0.8371 0.8299  8 Ho 3.00-3.08

***

Material: TmThCoNi
Method: DFT, PBE
State: relaxed

## Properties
DOS at the Fermi energy   0.761 states/eV/atom
Energy relative to the lowest polymorph listed for this composition   0.000 eV/atom
Total magnetic moment   0.0 Bohr magnetons per cell
DFT formation energy   -0.377 eV per atom
Space-group type   Amm2

abc: 4.3721 5.2912 5.2912
angles: 40.56 90.00 90.00
Last column: nearest neighbours and their distance in Å.
Element x y z (fractional)
Tm 0.0000 0.0000 0.0000  3 Ni 2.80-2.84, 4 Co 2.91
Th 0.5000 0.2779 0.2779  3 Co 2.75-2.87, 4 Ni 2.92
Co 0.5000 0.5551 0.5551  2 Ni 2.69, 3 Th 2.75-2.87, 4 Tm 2.91
Ni 0.0000 0.7138 0.7138  2 Co 2.69, 3 Tm 2.80-2.84, 4 Th 2.92

***

Material: ZrAgHgF6
Method: DFT, PBE
State: relaxed

## Properties
DOS at the Fermi energy   0.292 states/eV/atom
Total magnetic moment   1.7 Bohr magnetons per cell
E   -4.9608 eV/atom
Space-group type   P-31c

abc: 6.2550 6.2550 9.8814
angles: 90.00 90.00 120.00
Last column: nearest neighbours and their distance in Å.
Element x y z (fractional)
Zr 0.3333 0.6667 0.2500  6 F 2.05
Zr 0.6667 0.3333 0.7500  6 F 2.05
Ag 0.3333 0.6667 0.7500  6 F 2.52
Ag 0.6667 0.3333 0.2500  6 F 2.52
Hg 0.0000 0.0000 0.0000  6 F 2.70
Hg 0.0000 0.0000 0.5000  6 F 2.70
F 0.0547 0.3984 0.1357  1 Zr 2.05
F 0.0547 0.6563 0.3643  1 Zr 2.05
F 0.3437 0.3984 0.3643  1 Zr 2.05
F 0.3437 0.9453 0.1357  1 Zr 2.05
F 0.3984 0.0547 0.6357  1 Zr 2.05
F 0.3984 0.3437 0.8643  1 Zr 2.05
F 0.6016 0.6563 0.1357  1 Zr 2.05
F 0.6016 0.9453 0.3643  1 Zr 2.05
F 0.6563 0.0547 0.8643  1 Zr 2.05
F 0.6563 0.6016 0.6357  1 Zr 2.05
F 0.9453 0.3437 0.6357  1 Zr 2.05
F 0.9453 0.6016 0.8643  1 Zr 2.05